# PBE HoTlIn2, optimized geometry
data_HoTlIn2
_chemical_formula_sum 'Ho4 Tl4 In8'
_space_group_name_H-M_alt 'I m m a'
_space_group_IT_number 74
_space_group_name_Hall '-I 2b 2'
_cell_length_a 6.483
_cell_length_b 7.811
_cell_length_c 8.253
_cell_angle_alpha 90.00
_cell_angle_beta 90.00
_cell_angle_gamma 90.00
loop_
_atom_site_label
_atom_site_type_symbol
_atom_site_fract_x
_atom_site_fract_y
_atom_site_fract_z
Ho1 Ho 0.000 0.250 0.057
Tl1 Tl 0.000 0.250 0.455
In1 In 0.250 0.054 0.750
# E_tot: -13.56 eV per formula unit
# ρ: 9.519 g/cm3
# Energy relative to the elements: -110 kJ/mol of formula units